The following is a GGA-PBE calculation of a relaxed structure of TiAlHg3, from Alexandria via LeMat-Bulk.

Cell: 5.0122 5.0122 5.0122 Å, 90.00 90.00 90.00°
Atoms (fractional coordinates):
Al (0.0000, 0.0000, 0.0000)
Hg (0.0000, 0.5000, 0.0000)
Hg (0.0000, 0.0000, 0.5000)
Hg (0.5000, 0.0000, 0.0000)
Ti (0.5000, 0.5000, 0.5000)

Energy of formation   696.8 meV/atom
Magnetic moment   0.000 μB per atom
Calculated volume   125.9 Å³/cell
Energy above the most stable polymorph in this dataset   0.013 eV/atom
Space group   Pm-3m, No. 221
Total DFT energy (no corrections)   -9.06 eV for the cell shown


The following is a GGA-PBE calculation of a relaxed structure of TiAlHg2, from Alexandria via LeMat-Bulk.

Cell: 7.5214 7.5214 6.0779 Å, 51.78 51.78 90.00°
Atoms (fractional coordinates):
Al (0.5000, 0.5000, 0.0000)
Al (0.2500, 0.7500, 0.5000)
Hg (0.6109, 0.1250, 0.2500)
Hg (0.1391, 0.6250, 0.2500)
Hg (0.3750, 0.3891, 0.7500)
Hg (0.8750, 0.8609, 0.7500)
Ti (0.0000, 0.0000, 0.0000)
Ti (0.7500, 0.2500, 0.5000)

Energy of formation   218.2 meV/atom
Magnetic moment   0.000 μB per atom
Calculated volume   166.4 Å³/cell
Space group   I-42d, No. 122
Total DFT energy (no corrections)   -22.74 eV for the cell shown


The following is a GGA-PBE calculation of a relaxed structure of Ti2Al2Hg, from Alexandria via LeMat-Bulk.

Cell: 7.2292 7.2292 3.3166 Å, 90.00 90.00 90.00°
Atoms (fractional coordinates):
Al (0.3778, 0.8778, 0.0000)
Al (0.8778, 0.6222, 0.0000)
Al (0.6222, 0.1222, 0.0000)
Al (0.1222, 0.3778, 0.0000)
Hg (0.0000, 0.0000, 0.0000)
Hg (0.5000, 0.5000, 0.0000)
Ti (0.1753, 0.6753, 0.5000)
Ti (0.6753, 0.8247, 0.5000)
Ti (0.8247, 0.3247, 0.5000)
Ti (0.3247, 0.1753, 0.5000)

Energy of formation   -152.7 meV/atom
Magnetic moment   0.000 μB per atom
Calculated volume   173.3 Å³/cell
Energy above the most stable polymorph in this dataset   0.000 eV/atom
Space group   P4/mbm, No. 127
Total DFT energy (no corrections)   -48.68 eV for the cell shown


The following is a GGA-PBE calculation of a relaxed structure of Ti2AlHg, from Alexandria via LeMat-Bulk.

Cell: 4.2662 4.0220 4.0220 Å, 90.00 90.00 90.00°
Atoms (fractional coordinates):
Al (0.5000, 0.0000, 0.0000)
Hg (0.5000, 0.5000, 0.5000)
Ti (0.0000, 0.0000, 0.5000)
Ti (0.0000, 0.5000, 0.0000)

Energy of formation   -198.1 meV/atom
Magnetic moment   0.000 μB per atom
Calculated volume   69.0 Å³/cell
Energy above the most stable polymorph in this dataset   0.021 eV/atom
Space group   P4/mmm, No. 123
Total DFT energy (no corrections)   -20.63 eV for the cell shown


The following is a GGA-PBE calculation of a relaxed structure of TiAlHg3, from Alexandria via LeMat-Bulk.

Cell: 5.3773 5.3773 5.3773 Å, 90.00 90.00 90.00°
Last column: magnetic moment on the atom in μB.
Atoms (fractional coordinates):
Al (0.5000, 0.5000, 0.5000)  0.03
Hg (0.0000, 0.5000, 0.0000)  0.08
Hg (0.0000, 0.0000, 0.5000)  0.05
Hg (0.5000, 0.0000, 0.0000)  0.13
Ti (0.0000, 0.0000, 0.0000)  1.56

Energy of formation   684.2 meV/atom
Magnetic moment   0.526 μB per atom
Calculated volume   155.5 Å³/cell
Energy above the most stable polymorph in this dataset   0.000 eV/atom
Space group   Pm-3m, No. 221
Total DFT energy (no corrections)   -9.12 eV for the cell shown


The following is a GGA-PBE calculation of a relaxed structure of Ti2AlHg2, from Alexandria via LeMat-Bulk.

Cell: 6.9604 6.9604 4.1119 Å, 90.00 90.00 90.00°
Last column: magnetic moment on the atom in μB.
Atoms (fractional coordinates):
Al (0.0000, 0.0000, 0.0000)  0.01
Al (0.5000, 0.5000, 0.0000)  0.01
Hg (0.1615, 0.6615, 0.5000)  0.01
Hg (0.6615, 0.8385, 0.5000)  0.01
Hg (0.8385, 0.3385, 0.5000)  0.01
Hg (0.3385, 0.1615, 0.5000)  0.01
Ti (0.3618, 0.8618, 0.0000)  0.53
Ti (0.8618, 0.6382, 0.0000)  0.52
Ti (0.6382, 0.1382, 0.0000)  0.53
Ti (0.1382, 0.3618, 0.0000)  0.52

Energy of formation   142.1 meV/atom
Magnetic moment   0.255 μB per atom
Calculated volume   199.2 Å³/cell
Energy above the most stable polymorph in this dataset   0.023 eV/atom
Space group   P4/mbm, No. 127
Total DFT energy (no corrections)   -38.85 eV for the cell shown


The following is a GGA-PBE calculation of a relaxed structure of Ti2Al2Hg, from Alexandria via LeMat-Bulk.

Cell: 7.7631 7.7631 3.0741 Å, 90.00 90.00 90.00°
Last column: magnetic moment on the atom in μB.
Atoms (fractional coordinates):
Al (0.1800, 0.6800, 0.5000)  -0.01
Al (0.6800, 0.8200, 0.5000)  -0.01
Al (0.8200, 0.3200, 0.5000)  -0.01
Al (0.3200, 0.1800, 0.5000)  -0.01
Hg (0.0000, 0.0000, 0.0000)  0.00
Hg (0.5000, 0.5000, 0.0000)  0.00
Ti (0.3814, 0.8814, 0.0000)  0.39
Ti (0.8814, 0.6186, 0.0000)  0.37
Ti (0.6186, 0.1186, 0.0000)  0.39
Ti (0.1186, 0.3814, 0.0000)  0.37

Energy of formation   -10.9 meV/atom
Magnetic moment   0.171 μB per atom
Calculated volume   185.3 Å³/cell
Energy above the most stable polymorph in this dataset   0.142 eV/atom
Space group   P4/mbm, No. 127
Total DFT energy (no corrections)   -47.26 eV for the cell shown


The following is a GGA-PBE calculation of a relaxed structure of Ti6AlHg2, from Alexandria via LeMat-Bulk.

Cell: 3.1045 7.3516 10.1221 Å, 46.57 107.88 102.20°
Atoms (fractional coordinates):
Ti (0.5016, 0.7998, 0.8512)
Ti (0.4984, 0.2002, 0.1488)
Ti (0.1505, 0.8631, 0.4690)
Ti (0.1519, 0.1391, 0.8322)
Ti (0.8482, 0.8609, 0.1678)
Ti (0.8495, 0.1369, 0.5310)
Al (0.5000, 0.5000, 0.5000)
Hg (0.1951, 0.4972, 0.1967)
Hg (0.8049, 0.5028, 0.8033)

Energy of formation   -123.5 meV/atom
Magnetic moment   0.000 μB per atom
Calculated volume   159.7 Å³/cell
Energy above the most stable polymorph in this dataset   0.000 eV/atom
Space group   C2/m, No. 12
Total DFT energy (no corrections)   -52.83 eV for the cell shown


The following is a GGA-PBE calculation of a relaxed structure of TiAlHg2, from Alexandria via LeMat-Bulk.

Cell: 3.0789 3.0789 10.4882 Å, 81.56 81.56 60.00°
Atoms (fractional coordinates):
Al (0.5000, 0.5000, 0.5000)
Hg (0.0898, 0.0898, 0.7307)
Hg (0.9102, 0.9102, 0.2693)
Ti (0.0000, 0.0000, 0.0000)

Energy of formation   377.3 meV/atom
Magnetic moment   0.000 μB per atom
Calculated volume   84.9 Å³/cell
Space group   R-3m, No. 166
Total DFT energy (no corrections)   -10.73 eV for the cell shown


The following is a GGA-PBE calculation of a relaxed structure of Ti2AlHg, from Alexandria via LeMat-Bulk.

Cell: 2.8670 2.8670 8.4644 Å, 90.00 90.00 90.00°
Atoms (fractional coordinates):
Al (0.5000, 0.5000, 0.0000)
Hg (0.5000, 0.5000, 0.5000)
Ti (0.0000, 0.0000, 0.7713)
Ti (0.0000, 0.0000, 0.2287)

Energy of formation   -219.5 meV/atom
Magnetic moment   0.000 μB per atom
Calculated volume   69.6 Å³/cell
Energy above the most stable polymorph in this dataset   0.000 eV/atom
Space group   P4/mmm, No. 123
Total DFT energy (no corrections)   -20.71 eV for the cell shown


The following is a GGA-PBE calculation of a relaxed structure of TiAl2Hg2, from Alexandria via LeMat-Bulk.

Cell: 7.4964 7.4964 3.4074 Å, 90.00 90.00 90.00°
Atoms (fractional coordinates):
Al (0.3681, 0.8681, 0.0000)
Al (0.8681, 0.6319, 0.0000)
Al (0.6319, 0.1319, 0.0000)
Al (0.1319, 0.3681, 0.0000)
Hg (0.1711, 0.6711, 0.5000)
Hg (0.6711, 0.8289, 0.5000)
Hg (0.8289, 0.3289, 0.5000)
Hg (0.3289, 0.1711, 0.5000)
Ti (0.0000, 0.0000, 0.0000)
Ti (0.5000, 0.5000, 0.0000)

Energy of formation   176.3 meV/atom
Magnetic moment   0.000 μB per atom
Calculated volume   191.5 Å³/cell
Space group   P4/mbm, No. 127
Total DFT energy (no corrections)   -30.20 eV for the cell shown


The following is a GGA-PBE calculation of a relaxed structure of Ti2AlHg, from Alexandria via LeMat-Bulk.

Cell: 7.4561 7.4561 5.9377 Å, 51.11 51.11 90.00°
Atoms (fractional coordinates):
Al (0.5000, 0.5000, 0.0000)
Al (0.2500, 0.7500, 0.5000)
Hg (0.0000, 0.0000, 0.0000)
Hg (0.7500, 0.2500, 0.5000)
Ti (0.6224, 0.1250, 0.2500)
Ti (0.1276, 0.6250, 0.2500)
Ti (0.3750, 0.3776, 0.7500)
Ti (0.8750, 0.8724, 0.7500)

Energy of formation   231.6 meV/atom
Magnetic moment   0.000 μB per atom
Calculated volume   151.8 Å³/cell
Energy above the most stable polymorph in this dataset   0.451 eV/atom
Space group   I-42d, No. 122
Total DFT energy (no corrections)   -37.82 eV for the cell shown